This record from Alexandria via LeMat-Bulk describes an optimized crystal structure of Rb4AsCl6. The functional is GGA-PBE.

a b c (Å): 9.054 9.054 9.061
angles (deg): 90.00 90.00 90.00
Site moments in Bohr magnetons follow the coordinates.
Element x y z (fractional)
Rb 0.335 0.165 0.250  0.00
Rb 0.165 0.665 0.750  0.00
Rb 0.665 0.835 0.750  0.00
Rb 0.835 0.335 0.750  0.00
Rb 0.335 0.165 0.750  0.00
Rb 0.165 0.665 0.250  0.00
Rb 0.835 0.335 0.250  0.00
Rb 0.665 0.835 0.250  0.00
As 0.500 0.500 0.000  0.41
As 0.000 0.000 0.500  0.41
Cl 0.309 0.894 0.500  0.04
Cl 0.809 0.606 0.000  0.04
Cl 0.606 0.191 0.000  0.04
Cl 0.106 0.309 0.500  0.04
Cl 0.000 0.000 0.225  0.00
Cl 0.500 0.500 0.275  0.00
Cl 0.394 0.809 0.000  0.04
Cl 0.000 0.000 0.775  0.00
Cl 0.191 0.394 0.000  0.04
Cl 0.500 0.500 0.725  0.00
Cl 0.894 0.691 0.500  0.04
Cl 0.691 0.106 0.500  0.04

Computed properties:
mass density	2.8	Mg/m³
VASP energy	-3.219	eV per atom
space-group type	P4/mnc, No. 128